Density functional theory data (PBE-GGA) for an optimized crystal structure of Si2AuF.

Geometry as extended XYZ:
```
4
Lattice="-0.510 -1.324 4.087 -2.404 2.326 2.744 -3.835 -1.503 1.325" Properties=species:S:1:pos:R:3 pbc="T T T"
Si -1.687 -0.125 2.039
Si -5.062 -0.376 6.116
Au -3.375 -0.250 4.078
F 0.000 0.000 0.000
```

Computed properties:
Energy in eV/atom: -4.291
Polymorph energy (0 for the lowest one) in kcal/mol of atoms: 0.000
Density of states at the Fermi level in states/eV/f.u.: 0.940
ΔE_f (raw) in eV/atom: -0.29
SG: No. 225



Density functional theory data (PBE-GGA) for an optimized crystal structure of SnSbPd6.

Geometry as extended XYZ:
```
8
Lattice="4.699 0.600 0.070 0.951 4.641 0.070 1.724 1.599 7.063" Properties=species:S:1:pos:R:3 pbc="T T T"
Sn 3.687 3.420 3.602
Sb 0.000 0.000 0.000
Pd 1.364 3.091 2.169
Pd 3.184 1.128 2.169
Pd 4.189 5.711 5.035
Pd 6.010 3.748 5.035
Pd 3.610 3.348 6.689
Pd 3.764 3.491 0.515
```

Computed properties:
Energy in eV/atom: -5.198
Polymorph energy (0 for the lowest one) in kcal/mol of atoms: 3.626
Density of states at the Fermi level in states/eV/f.u.: 3.515
ΔE_f (raw) in eV/atom: -0.29
SG: No. 12